# 1
Ca4BiHPb: optimized geometry, PBE.

## Properties
calculated volume: 789 Å³ per cell
E_tot: -3.376 eV/atom

a = 6.7859 Å, b = 17.2233 Å, c = 6.7483 Å
α = 90.00°, β = 90.00°, γ = 90.00°
Closest atoms and distances in Å follow each position.
Space group Cmcm (No. 63)
One atom of each set of equivalent atoms:
Ca (0.0000, 0.0678, 0.2500) [4 per cell]  3 Pb 3.21-3.49, 1 H 3.46, 2 Bi 3.49
Ca (0.0000, 0.4223, 0.2500) [4 per cell]  1 H 2.65
Ca (0.2500, 0.2500, 0.0000) [8 per cell]  2 H 2.41
Bi (0.0000, 0.3860, 0.7500) [4 per cell]  9 Ca 3.30-3.49
H (0.0000, 0.2685, 0.2500) [4 per cell]  5 Ca 2.41-2.65
Pb (0.0000, 0.1186, 0.7500) [4 per cell]  9 Ca 3.21-3.49



# 2
Ca2BiHPd6: optimized geometry, PBE.

## Properties
calculated volume: 563 Å³ per cell
E_tot: -4.723 eV/atom

a = 5.8042 Å, b = 5.8042 Å, c = 19.3014 Å
α = 90.00°, β = 90.00°, γ = 120.00°
Closest atoms and distances in Å follow each position.
Space group R-3m (No. 166, hexagonal axes)
One atom of each set of equivalent atoms:
Ca (0.0000, 0.0000, 0.2343) [6 per cell]  6 Pd 3.01
Bi (0.0000, 0.0000, 0.5000) [3 per cell]  6 Pd 2.70
H (0.0000, 0.0000, 0.0000) [3 per cell]  6 Pd 2.00
Pd (0.0017, 0.5008, 0.7239) [18 per cell]  1 H 2.00



# 3
CaBiH2Pd: optimized geometry, PBE.

## Properties
calculated volume: 123 Å³ per cell
E_tot: -3.391 eV/atom

a = 3.9923 Å, b = 3.9923 Å, c = 7.7452 Å
α = 90.00°, β = 90.00°, γ = 90.00°
Closest atoms and distances in Å follow each position.
Space group P4/mmm (No. 123)
One atom of each set of equivalent atoms:
Ca (0.0000, 0.0000, 0.0000) [1 per cell]  4 H 2.00
Bi (0.0000, 0.0000, 0.5000) [1 per cell]  4 Pd 2.82
H (0.0000, 0.5000, 0.0000) [2 per cell]  2 Ca 2.00
Pd (0.5000, 0.5000, 0.5000) [1 per cell]  4 Bi 2.82



# 4
Ca3BiH2Pd6: optimized geometry, PBE.

## Properties
calculated volume: 258 Å³ per cell
E_tot: -4.421 eV/atom

a = 5.6749 Å, b = 5.6749 Å, c = 9.2550 Å
α = 90.00°, β = 90.00°, γ = 120.00°
Closest atoms and distances in Å follow each position.
Space group P-3m1 (No. 164)
One atom of each set of equivalent atoms:
Ca (0.0000, 0.0000, 0.0000) [1 per cell]  6 Pd 2.96
Ca (0.3333, 0.6667, 0.6263) [2 per cell]  6 Pd 3.02
Bi (0.0000, 0.0000, 0.5000) [1 per cell]  6 Pd 2.77
H (0.3333, 0.6667, 0.1640) [2 per cell]  3 Pd 1.84
Pd (0.1712, 0.3424, 0.2628) [6 per cell]  1 H 1.84



# 5
Ca2Bi2HPd4: optimized geometry, PBE.

## Properties
calculated volume: 343 Å³ per cell
E_tot: -4.472 eV/atom

a = 6.5647 Å, b = 6.5647 Å, c = 7.9587 Å
α = 90.00°, β = 90.00°, γ = 90.00°
Closest atoms and distances in Å follow each position.
Space group I4/mmm (No. 139)
One atom of each set of equivalent atoms:
Ca (0.0000, 0.0000, 0.2145) [4 per cell]  1 H 2.27
Bi (0.0000, 0.5000, 0.2500) [4 per cell]  8 Pd 3.07, 4 Ca 3.29
H (0.0000, 0.0000, 0.5000) [2 per cell]  4 Pd 2.07, 2 Ca 2.27
Pd (0.2227, 0.2227, 0.5000) [8 per cell]  1 H 2.07



# 6
CaBiH6Pt2: optimized geometry, PBE.

## Properties
calculated volume: 514 Å³ per cell
E_tot: -4.013 eV/atom

a = 9.3042 Å, b = 9.3903 Å, c = 6.4554 Å
α = 90.00°, β = 114.32°, γ = 90.00°
Closest atoms and distances in Å follow each position.
Space group C2/c (No. 15)
One atom of each set of equivalent atoms:
Ca (0.0000, 0.1368, 0.2500) [4 per cell]  8 H 2.36-2.56
Bi (0.0000, 0.4003, 0.7500) [4 per cell]  4 H 2.33-2.36
H (0.1156, 0.1946, 0.6743) [8 per cell]  1 Pt 1.65
H (0.1336, 0.2937, 0.1049) [8 per cell]  1 Pt 1.66
H (0.1458, 0.0415, 0.0414) [8 per cell]  1 Pt 1.65
Pt (0.2422, 0.4236, 0.2709) [8 per cell]  3 H 1.65-1.66



# 7
CaRe2BiH: optimized geometry, PBE.

## Properties
calculated volume: 99 Å³ per cell
E_tot: -4.754 eV/atom

a = 5.3104 Å, b = 5.3104 Å, c = 3.5110 Å
α = 90.00°, β = 90.00°, γ = 90.00°
Closest atoms and distances in Å follow each position.
Space group P4/mmm (No. 123)
One atom of each set of equivalent atoms:
Ca (0.0000, 0.0000, 0.0000) [1 per cell]  2 H 1.76
Re (0.0000, 0.5000, 0.0000) [2 per cell]  2 Ca 2.66
Bi (0.5000, 0.5000, 0.5000) [1 per cell]  8 Re 3.18, 2 Bi 3.51
H (0.0000, 0.0000, 0.5000) [1 per cell]  2 Ca 1.76



# 8
Ca2BiHRh: optimized geometry, PBE.

## Properties
calculated volume: 102 Å³ per cell
E_tot: -4.253 eV/atom

a = 5.1648 Å, b = 5.1648 Å, c = 3.8083 Å
α = 90.00°, β = 90.00°, γ = 90.00°
Closest atoms and distances in Å follow each position.
Space group P4/mmm (No. 123)
One atom of each set of equivalent atoms:
Ca (0.0000, 0.5000, 0.0000) [2 per cell]  2 H 2.58
Bi (0.0000, 0.0000, 0.5000) [1 per cell]  8 Ca 3.21
H (0.5000, 0.5000, 0.0000) [1 per cell]  2 Rh 1.90
Rh (0.5000, 0.5000, 0.5000) [1 per cell]  2 H 1.90